Entry 1:
# PBE-GGA NaSc4Ag5, relaxed
data_NaSc4Ag5
_chemical_formula_sum 'Na1 Sc4 Ag5'
_cell_length_a 3.4077
_cell_length_b 3.4077
_cell_length_c 17.9483
_cell_angle_alpha 90.00
_cell_angle_beta 90.00
_cell_angle_gamma 90.00
_space_group_name_H-M_alt 'P 1'
_space_group_IT_number 1
loop_
_space_group_symop_operation_xyz
'x,y,z'
loop_
_atom_site_label
_atom_site_type_symbol
_atom_site_fract_x
_atom_site_fract_y
_atom_site_fract_z
Na1 Na 0.0000 0.0000 0.0000
Sc1 Sc 0.0000 0.0000 0.2087
Sc2 Sc 0.0000 0.0000 0.4034
Sc3 Sc 0.0000 0.0000 0.5966
Sc4 Sc 0.0000 0.0000 0.7913
Ag1 Ag 0.5000 0.5000 0.1168
Ag2 Ag 0.5000 0.5000 0.3067
Ag3 Ag 0.5000 0.5000 0.5000
Ag4 Ag 0.5000 0.5000 0.6933
Ag5 Ag 0.5000 0.5000 0.8832
# crystal system	tetragonal
# calculated formation energy	-0.2118	eV per atom
# density	5.91	Mg/m³


Entry 2:
# PBE-GGA NaScAg2, relaxed
data_NaScAg2
_chemical_formula_sum 'Na1 Sc1 Ag2'
_cell_length_a 5.1287
_cell_length_b 5.1287
_cell_length_c 3.1977
_cell_angle_alpha 90.00
_cell_angle_beta 90.00
_cell_angle_gamma 90.00
_space_group_name_H-M_alt 'P 1'
_space_group_IT_number 1
loop_
_space_group_symop_operation_xyz
'x,y,z'
loop_
_atom_site_label
_atom_site_type_symbol
_atom_site_fract_x
_atom_site_fract_y
_atom_site_fract_z
Na1 Na 0.0000 0.0000 0.0000
Sc1 Sc 0.5000 0.5000 0.0000
Ag1 Ag 0.0000 0.5000 0.5000
Ag2 Ag 0.5000 0.0000 0.5000
# excess energy over the best structure of this formula in the dataset	0.073	eV per atom
# crystal system	tetragonal
# calculated formation energy	-0.0554	eV per atom
# density	5.60	Mg/m³


Entry 3:
# PBE-GGA NaSc2AgSe4, relaxed
data_NaSc2AgSe4
_chemical_formula_sum 'Na2 Sc4 Ag2 Se8'
_cell_length_a 6.8398
_cell_length_b 6.8398
_cell_length_c 14.3993
_cell_angle_alpha 90.00
_cell_angle_beta 90.00
_cell_angle_gamma 146.56
_space_group_name_H-M_alt 'P 1'
_space_group_IT_number 1
loop_
_space_group_symop_operation_xyz
'x,y,z'
loop_
_atom_site_label
_atom_site_type_symbol
_atom_site_fract_x
_atom_site_fract_y
_atom_site_fract_z
Na1 Na 0.1320 0.8680 0.7500
Na2 Na 0.8680 0.1320 0.2500
Sc1 Sc 0.3720 0.6280 0.5722
Sc2 Sc 0.3720 0.6280 0.9278
Sc3 Sc 0.6280 0.3720 0.0722
Sc4 Sc 0.6280 0.3720 0.4278
Ag1 Ag 0.1622 0.8378 0.2500
Ag2 Ag 0.8378 0.1622 0.7500
Se1 Se 0.0000 0.0000 0.0000
Se2 Se 0.0000 0.0000 0.5000
Se3 Se 0.2690 0.7310 0.1002
Se4 Se 0.2690 0.7310 0.3998
Se5 Se 0.4659 0.5341 0.7500
Se6 Se 0.5341 0.4659 0.2500
Se7 Se 0.7310 0.2690 0.6002
Se8 Se 0.7310 0.2690 0.8998
# crystal system	orthorhombic
# energy relative to the elements, uncorrected	-10.0	eV/f.u.
# density	4.80	Mg/m³


Entry 4:
# PBE-GGA NaScAgSn, relaxed
data_NaScAgSn
_chemical_formula_sum 'Na1 Sc1 Ag1 Sn1'
_cell_length_a 5.0011
_cell_length_b 5.0011
_cell_length_c 5.0011
_cell_angle_alpha 60.00
_cell_angle_beta 60.00
_cell_angle_gamma 60.00
_space_group_name_H-M_alt 'P 1'
_space_group_IT_number 1
loop_
_space_group_symop_operation_xyz
'x,y,z'
loop_
_atom_site_label
_atom_site_type_symbol
_atom_site_fract_x
_atom_site_fract_y
_atom_site_fract_z
Na1 Na 0.0000 0.0000 0.0000
Sc1 Sc 0.5000 0.5000 0.5000
Ag1 Ag 0.7500 0.7500 0.7500
Sn1 Sn 0.2500 0.2500 0.2500
# crystal system	cubic
# calculated formation energy	-0.2508	eV per atom
# density	5.53	Mg/m³


Among the records above, which one has the lowest density? NaSc2AgSe4


The highest density belongs to which entry? NaSc4Ag5


Repeat the first record exactly.
# PBE-GGA NaSc4Ag5, relaxed
data_NaSc4Ag5
_chemical_formula_sum 'Na1 Sc4 Ag5'
_cell_length_a 3.4077
_cell_length_b 3.4077
_cell_length_c 17.9483
_cell_angle_alpha 90.00
_cell_angle_beta 90.00
_cell_angle_gamma 90.00
_space_group_name_H-M_alt 'P 1'
_space_group_IT_number 1
loop_
_space_group_symop_operation_xyz
'x,y,z'
loop_
_atom_site_label
_atom_site_type_symbol
_atom_site_fract_x
_atom_site_fract_y
_atom_site_fract_z
Na1 Na 0.0000 0.0000 0.0000
Sc1 Sc 0.0000 0.0000 0.2087
Sc2 Sc 0.0000 0.0000 0.4034
Sc3 Sc 0.0000 0.0000 0.5966
Sc4 Sc 0.0000 0.0000 0.7913
Ag1 Ag 0.5000 0.5000 0.1168
Ag2 Ag 0.5000 0.5000 0.3067
Ag3 Ag 0.5000 0.5000 0.5000
Ag4 Ag 0.5000 0.5000 0.6933
Ag5 Ag 0.5000 0.5000 0.8832
# crystal system	tetragonal
# calculated formation energy	-0.2118	eV per atom
# density	5.91	Mg/m³


Which formula does entry 3 have? NaSc2AgSe4